Entry 1:
First-principles (GGA-PBE) data for an optimized crystal structure of Co2AsSe, as listed in Alexandria via LeMat-Bulk.

Cell and atoms, written as POSCAR:
```
Co2AsSe
1.0
4.121 -0.007 0.149
3.013 2.811 0.149
1.075 0.423 5.957
Co Se As
2 1 1
Direct
0.992 0.992 0.982
0.761 0.761 0.763
0.494 0.494 0.649
0.253 0.253 0.106
```

Output
Final energy (eV/atom): -5.60
D(E_F) (states/eV/f.u.): 3.50
V (Å³/atom): 17.1

***

Entry 2:
First-principles (GGA-PBE) data for an optimized crystal structure of AcCu2SeO2, as listed in Alexandria via LeMat-Bulk.

Cell and atoms, written as POSCAR:
```
AcCu2SeO2
1.0
5.685 0.000 0.000
0.000 7.150 -1.117
0.000 -3.868 5.970
Se O Cu Ac
2 4 4 2
Direct
0.250 0.734 0.265
0.750 0.266 0.735
0.011 0.245 0.267
0.989 0.755 0.733
0.489 0.245 0.267
0.511 0.755 0.733
0.750 0.473 0.482
0.250 0.087 0.334
0.750 0.913 0.666
0.250 0.527 0.518
0.750 0.866 0.105
0.250 0.134 0.895
```

Output
Final energy (eV/atom): -5.60
D(E_F) (states/eV/f.u.): 1.87
V (Å³/atom): 18.2

***

Entry 3:
First-principles (GGA-PBE) data for an optimized crystal structure of Mn2HgCl, as listed in Alexandria via LeMat-Bulk.

Cell and atoms, written as POSCAR:
```
Mn2HgCl
1.0
-5.159 1.569 1.216
0.660 -5.334 1.291
-0.281 -0.202 3.152
Mn Hg Cl
2 1 1
Direct
0.500 0.500 0.000
0.000 0.000 0.000
0.000 0.500 0.500
0.500 0.000 0.500
```

Output
Final energy (eV/atom): -4.80
E above lowest polymorph (eV/atom): 0.2597
D(E_F) (states/eV/f.u.): 2.72
V (Å³/atom): 19.9

***

Entry 4:
First-principles (GGA-PBE) data for an optimized crystal structure of Ac4NiPtAu2, as listed in Alexandria via LeMat-Bulk.

Cell and atoms, written as POSCAR:
```
Ac4NiPtAu2
1.0
4.421 0.000 0.000
0.000 7.625 0.129
0.000 -2.670 7.382
Ac Ni Pt Au
4 1 1 2
Direct
0.500 0.246 0.230
0.500 0.754 0.770
0.000 0.740 0.228
0.000 0.260 0.772
0.500 0.500 0.000
0.000 0.000 0.000
0.000 0.500 0.500
0.500 0.000 0.500
```

Output
Final energy (eV/atom): -5.10
Formation energy (eV/atom): -0.753
D(E_F) (states/eV/f.u.): 3.54
V (Å³/atom): 31.3

***

Among the records above, which one has the highest final energy?
Mn2HgCl

***

Which of these has the lowest D(E_F)?
AcCu2SeO2

***

The highest final energy belongs to which entry?
Mn2HgCl